1.
This record from the Alexandria database describes a crystal of Si3Pt2 relaxed with PBEsol. The functional is meta-GGA SCAN.

abc: 3.900 3.900 11.963
angles: 90.00 90.00 120.00
Atoms (fractional coordinates):
Pt: 0.333 0.667 0.637
Pt: 0.667 0.333 0.363
Pt: 0.333 0.667 0.863
Pt: 0.667 0.333 0.137
Si: 0.000 0.000 0.750
Si: 0.667 0.333 0.565
Si: 0.333 0.667 0.435
Si: 0.333 0.667 0.065
Si: 0.667 0.333 0.935
Si: 0.000 0.000 0.250

Summary:
symmetry: P6_3/mmc, No. 194
density: 9.997 g/cm3
formation energy from raw total energies: -0.67 eV/atom

=====

2.
This record from the Alexandria database describes a crystal of NbAg2Os relaxed with PBEsol. The functional is meta-GGA SCAN.

abc: 4.489 4.489 4.489
angles: 60.00 60.00 60.00
Atoms (fractional coordinates):
Ag: 0.750 0.750 0.750
Ag: 0.250 0.250 0.250
Nb: 0.000 0.000 0.000
Os: 0.500 0.500 0.500

Summary:
symmetry: Fm-3m, No. 225
density: 12.950 g/cm3
formation energy: 0.792 eV per atom

=====

3.
This record from the Alexandria database describes a crystal of Li4Ti3V3O12 relaxed with PBEsol. The functional is meta-GGA SCAN.

abc: 5.004 5.936 7.738
angles: 77.60 77.24 73.26
Atoms (fractional coordinates):
O: 0.256 0.312 0.906
O: 0.759 0.492 0.740
O: 0.241 0.508 0.260
O: 0.238 0.858 0.922
O: 0.250 0.189 0.592
O: 0.762 0.142 0.078
O: 0.738 0.010 0.760
O: 0.750 0.811 0.408
O: 0.735 0.358 0.421
O: 0.744 0.688 0.094
O: 0.262 0.990 0.240
O: 0.265 0.642 0.579
V: 0.007 0.830 0.171
V: 0.000 0.500 0.500
V: 0.993 0.170 0.829
Ti: 0.500 0.000 0.000
Ti: 0.483 0.670 0.332
Ti: 0.517 0.330 0.668
Li: 0.503 0.165 0.334
Li: 0.005 0.665 0.834
Li: 0.995 0.335 0.166
Li: 0.497 0.835 0.666

Summary:
symmetry: P-1, No. 2
density: 4.046 g/cm3
formation energy from raw total energies: -2.81 eV/atom

=====

4.
This record from the Alexandria database describes a crystal of LiHgIr2 relaxed with PBEsol. The functional is meta-GGA SCAN.

abc: 2.799 4.592 4.682
angles: 90.00 90.00 90.00
Atoms (fractional coordinates):
Ir: 0.000 0.000 0.000
Ir: 0.500 0.500 0.000
Li: 0.500 0.000 0.500
Hg: 0.000 0.500 0.500

Summary:
symmetry: Pmmm, No. 47
density: 16.334 g/cm3
formation energy: 0.117 eV per atom

=====

5.
This record from the Alexandria database describes a crystal of Ce6MnSb15 relaxed with PBEsol. The functional is meta-GGA SCAN.

abc: 4.292 12.216 12.216
angles: 102.22 100.11 100.11
Atoms (fractional coordinates):
Sb: 0.584 0.159 0.159
Sb: 0.711 0.086 0.486
Sb: 0.828 0.403 0.403
Sb: 0.143 0.923 0.513
Sb: 0.426 0.198 0.805
Sb: 0.426 0.805 0.198
Sb: 0.285 0.253 0.466
Sb: 0.258 0.833 0.833
Sb: 0.025 0.600 0.600
Sb: 0.562 0.755 0.519
Sb: 0.143 0.513 0.923
Sb: 0.711 0.486 0.086
Sb: 0.285 0.466 0.253
Sb: 0.930 0.006 0.006
Sb: 0.562 0.519 0.755
Ce: 0.067 0.273 0.012
Ce: 0.785 0.991 0.729
Ce: 0.785 0.729 0.991
Ce: 0.067 0.012 0.273
Ce: 0.924 0.321 0.677
Ce: 0.924 0.677 0.321
Mn: 0.643 0.718 0.718

Summary:
symmetry: Imm2, No. 44
density: 7.521 g/cm3
formation energy from raw total energies: -0.72 eV/atom

=====

6.
This record from the Alexandria database describes a crystal of SrAu relaxed with PBEsol. The functional is meta-GGA SCAN.

abc: 4.176 6.018 8.048
angles: 109.84 90.00 110.30
Atoms (fractional coordinates):
Sr: 0.632 0.263 0.313
Sr: 0.814 0.628 0.962
Sr: 0.986 0.973 0.612
Au: 0.273 0.546 0.625
Au: 0.348 0.696 0.305
Au: 0.114 0.227 0.017

Summary:
symmetry: Cm, No. 8
density: 8.018 g/cm3
formation energy: -0.874 eV per atom